A geometry-optimized LiCdAgF4 structure. Source: Alexandria via LeMat-Bulk, functional GGA-PBE.

Output
The uncorrected formation energy is -1367 kJ/mol of formula units. For the magnetic moment, the calculation gives 0.000 μB per cell.

Lattice parameters (Å, degrees): 6.1025 6.6290 7.0675 122.21 90.00 117.41
Element x y z (fractional)
Li  0.5000  0.5000  0.5000
Li  0.0000  0.5000  0.5000
Cd  0.5000  0.0000  0.5000
Cd  0.5000  0.0000  0.0000
Ag  0.8202  0.6403  0.0702
Ag  0.1798  0.3597  0.9298
F  0.7370  0.4740  0.6829
F  0.2786  0.0259  0.2630
F  0.7473  0.0259  0.2630
F  0.7370  0.4740  0.2911
F  0.2630  0.5260  0.7089
F  0.7214  0.9741  0.7370
F  0.2527  0.9741  0.7370
F  0.2630  0.5260  0.3171